Y3Al2Hg4: relaxed, PBE.

Formation energy from the elements = -0.454 eV per atom
Symmetry = No. 12

a b c (Å): 4.753 5.995 8.952
angles (deg): 113.85 90.00 113.35
Sites, in units of the cell vectors:
Y1 0.663 0.326 0.674
Y2 0.000 0.000 0.000
Y3 0.337 0.674 0.326
Al1 0.612 0.223 0.281
Al2 0.388 0.777 0.719
Hg1 0.694 0.389 0.039
Hg2 0.306 0.611 0.961
Hg3 0.915 0.829 0.589
Hg4 0.085 0.171 0.411

---

ScPd3Cl: relaxed, PBE.

E_form (uncorrected) = 0.14 eV/atom
Symmetry = No. 221
Energy above the most stable polymorph in this dataset = 0.000 eV/atom

a b c (Å): 4.600 4.600 4.600
angles (deg): 90.00 90.00 90.00
Sites, in units of the cell vectors:
Sc1 0.500 0.500 0.500
Pd1 0.000 0.500 0.000
Pd2 0.000 0.000 0.500
Pd3 0.500 0.000 0.000
Cl1 0.000 0.000 0.000

---

TiTlI2O8: relaxed, PBE.

E_form (uncorrected) = -0.89 eV/atom
Symmetry = No. 12

a b c (Å): 6.078 6.078 6.972
angles (deg): 97.89 97.89 56.90
Sites, in units of the cell vectors:
Ti1 0.000 0.000 0.000
Tl1 0.000 0.000 0.500
I1 0.664 0.664 0.168
I2 0.336 0.336 0.832
O1 0.704 0.196 0.792
O2 0.838 0.838 0.071
O3 0.745 0.745 0.414
O4 0.255 0.255 0.586
O5 0.162 0.162 0.929
O6 0.196 0.704 0.792
O7 0.804 0.296 0.208
O8 0.296 0.804 0.208

---

NaSr6In: relaxed, PBE.

Formation energy from the elements = -0.098 eV per atom
Symmetry = No. 139

a b c (Å): 5.996 5.996 11.110
angles (deg): 74.34 74.34 90.00
Sites, in units of the cell vectors:
Na1 0.500 0.500 0.000
Sr1 0.750 0.750 0.500
Sr2 0.600 0.100 0.800
Sr3 0.100 0.600 0.800
Sr4 0.400 0.900 0.200
Sr5 0.250 0.250 0.500
Sr6 0.900 0.400 0.200
In1 0.000 0.000 0.000

---

GaHgB: relaxed, PBE.

Formation energy from the elements = 0.354 eV per atom
Symmetry = No. 1

a b c (Å): 3.503 6.335 5.369
angles (deg): 81.70 108.73 105.87
Sites, in units of the cell vectors:
B1 0.299 0.604 0.948
B2 0.132 0.585 0.628
Hg1 0.733 0.077 0.363
Hg2 0.084 0.223 0.905
Ga1 0.501 0.585 0.362
Ga2 0.848 0.792 0.857

---

NbTeSe2: relaxed, PBE.

E_form (uncorrected) = -0.53 eV/atom
Symmetry = No. 63

a b c (Å): 3.493 7.058 8.094
angles (deg): 90.00 90.00 104.30
Sites, in units of the cell vectors:
Nb1 0.239 0.479 0.750
Nb2 0.761 0.521 0.250
Te1 0.577 0.154 0.750
Te2 0.423 0.846 0.250
Se1 0.158 0.316 0.068
Se2 0.842 0.684 0.932
Se3 0.842 0.684 0.568
Se4 0.158 0.316 0.432

---

Hf2CrRuPt: relaxed, PBE.

Formation energy from the elements = 0.716 eV per atom
Symmetry = No. 123

a b c (Å): 4.644 4.644 4.490
angles (deg): 90.00 90.00 90.00
Sites, in units of the cell vectors:
Ru1 0.500 0.500 0.500
Hf1 0.000 0.500 0.000
Hf2 0.500 0.000 0.000
Pt1 0.000 0.000 0.500
Cr1 0.000 0.000 0.000

---

NpBi2F11: relaxed, PBE.

E_form (uncorrected) = -2.74 eV/atom
Symmetry = No. 72

a b c (Å): 8.463 8.775 8.775
angles (deg): 74.20 61.17 61.17
Sites, in units of the cell vectors:
Np1 0.750 0.750 0.750
Np2 0.250 0.250 0.250
Bi1 0.630 0.687 0.313
Bi2 0.370 0.313 0.687
Bi3 0.870 0.187 0.813
Bi4 0.130 0.813 0.187
F1 0.681 0.688 0.579
F2 0.319 0.312 0.421
F3 0.053 0.579 0.688
F4 0.819 0.921 0.812
F5 0.947 0.421 0.312
F6 0.181 0.079 0.188
F7 0.447 0.812 0.921
F8 0.553 0.188 0.079
F9 0.500 0.500 0.500
F10 0.000 0.000 0.000
F11 0.872 0.777 0.223
F12 0.128 0.223 0.777
F13 0.628 0.277 0.723
F14 0.372 0.723 0.277
F15 0.441 0.977 0.334
F16 0.559 0.023 0.666
F17 0.247 0.334 0.977
F18 0.059 0.166 0.523
F19 0.753 0.666 0.023
F20 0.941 0.834 0.477
F21 0.253 0.523 0.166
F22 0.747 0.477 0.834

---

SrGeP2S8: relaxed, PBE.

E_form (uncorrected) = -0.47 eV/atom
Symmetry = No. 147

a b c (Å): 5.931 5.931 8.716
angles (deg): 90.00 90.00 120.00
Sites, in units of the cell vectors:
Sr1 0.000 0.000 0.000
Ge1 0.000 0.000 0.500
P1 0.667 0.333 0.259
P2 0.333 0.667 0.741
S1 0.333 0.667 0.971
S2 0.320 0.319 0.320
S3 0.681 0.001 0.320
S4 0.667 0.333 0.029
S5 0.319 0.999 0.680
S6 0.680 0.681 0.680
S7 0.001 0.320 0.680
S8 0.999 0.680 0.320

---

BaMnCr: relaxed, PBE.

Formation energy from the elements = 1.261 eV per atom
Symmetry = No. 216
Energy above the most stable polymorph in this dataset = 0.614 eV/atom

a b c (Å): 5.215 5.215 5.215
angles (deg): 60.00 60.00 60.00
Sites, in units of the cell vectors:
Ba1 0.500 0.500 0.500
Cr1 0.250 0.250 0.250
Mn1 0.000 0.000 0.000

---

CoCuI2: relaxed, PBE.

E_form (uncorrected) = 0.77 eV/atom
Symmetry = No. 225
Energy above the most stable polymorph in this dataset = 0.595 eV/atom

a b c (Å): 5.025 5.025 5.025
angles (deg): 60.00 60.00 60.00
Sites, in units of the cell vectors:
I1 0.250 0.250 0.250
I2 0.750 0.750 0.750
Co1 0.000 0.000 0.000
Cu1 0.500 0.500 0.500

---

SiTeBr2: relaxed, PBE.

E_form (uncorrected) = 0.17 eV/atom
Symmetry = No. 44
Energy above the most stable polymorph in this dataset = 0.303 eV/atom

a b c (Å): 7.710 7.710 7.710
angles (deg): 151.71 144.62 45.90
Sites, in units of the cell vectors:
Br1 0.000 0.000 0.000
Br2 0.236 0.736 0.500
Si1 0.559 0.559 0.000
Te1 0.705 0.205 0.500

---

Cs2K5Cd: relaxed, PBE.

Formation energy from the elements = 0.048 eV per atom
Symmetry = No. 107

a b c (Å): 8.601 8.601 10.730
angles (deg): 66.38 66.38 90.00
Sites, in units of the cell vectors:
Cs1 0.202 0.702 0.595
Cs2 0.702 0.202 0.595
K1 0.734 0.734 0.045
K2 0.734 0.222 0.044
K3 0.222 0.734 0.045
K4 0.222 0.222 0.044
K5 0.303 0.303 0.394
Cd1 0.104 0.104 0.791

---

Y2AlGa3Rh4: relaxed, PBE.

Formation energy from the elements = -0.834 eV per atom
Symmetry = No. 115

a b c (Å): 4.228 4.228 10.142
angles (deg): 90.00 90.00 90.00
Sites, in units of the cell vectors:
Y1 0.500 0.000 0.236
Y2 0.000 0.500 0.764
Al1 0.500 0.500 0.500
Ga1 0.000 0.000 0.500
Ga2 0.500 0.000 0.872
Ga3 0.000 0.500 0.128
Rh1 0.500 0.500 0.000
Rh2 0.000 0.000 0.000
Rh3 0.500 0.000 0.630
Rh4 0.000 0.500 0.370

---

SrInAuO4: relaxed, PBE.

E_form (uncorrected) = -1.12 eV/atom
Symmetry = No. 63

a b c (Å): 5.866 5.866 7.467
angles (deg): 90.00 90.00 112.46
Sites, in units of the cell vectors:
Sr1 0.500 0.500 0.500
Sr2 0.500 0.500 0.000
In1 0.877 0.123 0.250
In2 0.123 0.877 0.750
Au1 0.202 0.798 0.250
Au2 0.798 0.202 0.750
O1 0.233 0.256 0.750
O2 0.744 0.767 0.750
O3 0.762 0.238 0.012
O4 0.762 0.238 0.488
O5 0.238 0.762 0.988
O6 0.238 0.762 0.512
O7 0.767 0.744 0.250
O8 0.256 0.233 0.250

---

LaPrMgSc: relaxed, PBE.

Formation energy from the elements = 0.008 eV per atom
Symmetry = No. 216
Energy above the most stable polymorph in this dataset = 0.011 eV/atom

a b c (Å): 5.558 5.558 5.558
angles (deg): 60.00 60.00 60.00
Sites, in units of the cell vectors:
Pr1 0.250 0.250 0.250
Sc1 0.000 0.000 0.000
Mg1 0.500 0.500 0.500
La1 0.750 0.750 0.750

---

BeC: relaxed, PBE.

Formation energy from the elements = 0.604 eV per atom
Symmetry = No. 38
Energy above the most stable polymorph in this dataset = 0.285 eV/atom

a b c (Å): 4.099 4.099 2.804
angles (deg): 90.00 90.00 92.30
Sites, in units of the cell vectors:
Be1 0.176 0.176 0.000
Be2 0.634 0.230 0.500
Be3 0.230 0.634 0.500
C1 0.901 0.457 0.000
C2 0.457 0.901 0.000
C3 0.602 0.602 0.000

---

Mn2Co2C: relaxed, PBE.

Formation energy from the elements = 0.061 eV per atom
Symmetry = No. 123

a b c (Å): 3.748 3.748 3.835
angles (deg): 90.00 90.00 90.00
Sites, in units of the cell vectors:
Mn1 0.000 0.000 0.000
Mn2 0.500 0.500 0.000
Co1 0.500 0.000 0.500
Co2 0.000 0.500 0.500
C1 0.500 0.500 0.500

---

ZrReRu2: relaxed, PBE.

Formation energy from the elements = 0.055 eV per atom
Symmetry = No. 47
Energy above the most stable polymorph in this dataset = 0.135 eV/atom

a b c (Å): 3.208 4.598 4.343
angles (deg): 90.00 90.00 90.00
Sites, in units of the cell vectors:
Re1 0.000 0.500 0.500
Ru1 0.000 0.000 0.000
Ru2 0.500 0.500 0.000
Zr1 0.500 0.000 0.500

---

Ba2MgRe: relaxed, PBE.

Formation energy from the elements = 0.965 eV per atom
Symmetry = No. 119

a b c (Å): 5.845 5.845 5.845
angles (deg): 128.96 128.96 75.07
Sites, in units of the cell vectors:
Ba1 0.000 0.000 0.000
Ba2 0.250 0.750 0.500
Mg1 0.500 0.500 0.000
Re1 0.750 0.250 0.500

---

K3Ho3NpTe8: relaxed, PBE.

E_form (uncorrected) = -1.22 eV/atom
Symmetry = No. 166

a b c (Å): 8.877 8.877 9.821
angles (deg): 116.88 90.00 120.00
Sites, in units of the cell vectors:
K1 0.000 0.000 0.000
K2 0.000 0.500 0.000
K3 0.500 0.500 0.000
Ho1 0.500 0.000 0.500
Ho2 0.500 0.500 0.500
Ho3 0.000 0.500 0.500
Np1 0.000 0.000 0.500
Te1 0.264 0.528 0.293
Te2 0.736 0.472 0.707
Te3 0.765 0.529 0.295
Te4 0.235 0.471 0.705
Te5 0.765 0.030 0.295
Te6 0.235 0.970 0.705
Te7 0.265 0.030 0.295
Te8 0.735 0.970 0.705

---

OsPb3C: relaxed, PBE.

Formation energy from the elements = 1.620 eV per atom
Symmetry = No. 221
Energy above the most stable polymorph in this dataset = 0.000 eV/atom

a b c (Å): 5.255 5.255 5.255
angles (deg): 90.00 90.00 90.00
Sites, in units of the cell vectors:
Pb1 0.000 0.500 0.000
Pb2 0.000 0.000 0.500
Pb3 0.500 0.000 0.000
C1 0.500 0.500 0.500
Os1 0.000 0.000 0.000

---

HgSbPdAu: relaxed, PBE.

E_form (uncorrected) = 0.02 eV/atom
Symmetry = No. 216

a b c (Å): 4.853 4.853 4.853
angles (deg): 60.00 60.00 60.00
Sites, in units of the cell vectors:
Sb1 0.250 0.250 0.250
Au1 0.000 0.000 0.000
Hg1 0.750 0.750 0.750
Pd1 0.500 0.500 0.500

---

ErZnGeAu: relaxed, PBE.

Formation energy from the elements = -0.466 eV per atom
Symmetry = No. 216

a b c (Å): 4.806 4.806 4.806
angles (deg): 60.00 60.00 60.00
Sites, in units of the cell vectors:
Ge1 0.000 0.000 0.000
Au1 0.500 0.500 0.500
Zn1 0.250 0.250 0.250
Er1 0.750 0.750 0.750